A | Compound: PmDy2Er
Source: Alexandria via LeMat-Bulk
Functional: PBE-GGA
Structure: relaxed

a = 3.558 Å, b = 3.558 Å, c = 10.077 Å
α = 90.00°, β = 90.00°, γ = 90.00°
Space group P4/mmm (No. 123)
Inequivalent atoms, fractional coordinates:
1 Pm 0.000 0.000 0.000 x1
2 Dy 0.500 0.500 0.255 x2
3 Er 0.000 0.000 0.500 x1

Computed properties:
Crystal system   tetragonal
N(E_F)   5.156 states/eV per cell



B | Compound: PmDy2Er
Source: Alexandria via LeMat-Bulk
Functional: PBE-GGA
Structure: relaxed

a = 3.5807 Å, b = 3.5807 Å, c = 34.5612 Å
α = 90.00°, β = 90.00°, γ = 120.00°
Space group R3m (No. 160, hexagonal axes)
Inequivalent atoms, fractional coordinates:
1 Pm 0.0000 0.0000 0.0000 x3
2 Dy 0.0000 0.0000 0.2490 x3
3 Dy 0.0000 0.0000 0.4186 x3
4 Er 0.0000 0.0000 0.8339 x3

Computed properties:
Crystal system   trigonal
N(E_F)   17.052 states/eV per cell



Which of them is most stable? Easy: B.



A | Compound: PmDy2Er
Source: Alexandria via LeMat-Bulk
Functional: PBE-GGA
Structure: relaxed

a = 3.5600 Å, b = 3.5600 Å, c = 34.8064 Å
α = 90.00°, β = 90.00°, γ = 120.00°
Space group R-3m (No. 166, hexagonal axes)
Inequivalent atoms, fractional coordinates:
1 Pm 0.0000 0.0000 0.0000 x3
2 Dy 0.0000 0.0000 0.2486 x6
3 Er 0.0000 0.0000 0.5000 x3

Computed properties:
Crystal system   trigonal
N(E_F)   16.532 states/eV per cell



B | Compound: PmDy2Er
Source: Alexandria via LeMat-Bulk
Functional: PBE-GGA
Structure: relaxed

a = 8.026 Å, b = 8.026 Å, c = 8.026 Å
α = 90.00°, β = 90.00°, γ = 90.00°
Space group Fm-3m (No. 225)
Inequivalent atoms, fractional coordinates:
1 Pm 0.000 0.000 0.000 x4
2 Dy 0.250 0.250 0.250 x8
3 Er 0.000 0.000 0.500 x4

Computed properties:
Crystal system   cubic
N(E_F)   38.033 states/eV per cell



C | Compound: PmDy2Er
Source: Alexandria via LeMat-Bulk
Functional: PBE-GGA
Structure: relaxed

a = 6.915 Å, b = 6.900 Å, c = 11.111 Å
α = 90.00°, β = 90.00°, γ = 90.00°
Space group P2/c (No. 13)
Inequivalent atoms, fractional coordinates:
1 Pm 0.125 0.127 0.387 x4
2 Dy 0.126 0.375 0.887 x4
3 Dy 0.376 0.126 0.113 x4
4 Er 0.376 0.376 0.613 x4

Computed properties:
Crystal system   monoclinic
N(E_F)   28.086 states/eV per cell



Which of them is most stable? Easy: A.